# 1
{
  "formula": "Y2ScTe",
  "functional": "PBEsol",
  "state": "relaxed",
  "final_energy_ev_per_atom": -6.398,
  "volume_a3_per_cell": 212.4,
  "dos_ef_per_ev_atom": 1.19,
  "magmom_total_mub_per_fu": 0.0,
  "lattice_angstrom": [[3.773, 0.000, 0.000], [0.000, 5.227, 0.000], [0.000, 0.000, 10.770]],
  "species": ["Y", "Y", "Y", "Y", "Sc", "Sc", "Te", "Te"],
  "frac_coords": [[0.000, 0.000, 0.228], [0.000, 0.000, 0.772], [0.500, 0.500, 0.272], [0.500, 0.500, 0.728], [0.000, 0.500, 0.000], [0.500, 0.000, 0.500], [0.000, 0.500, 0.500], [0.500, 0.000, 0.000]]
}

---

# 2
{
  "formula": "Y2ScTe",
  "functional": "PBEsol",
  "state": "relaxed",
  "final_energy_ev_per_atom": -6.396,
  "volume_a3_per_cell": 203.0,
  "dos_ef_per_ev_atom": 1.64,
  "magmom_total_mub_per_fu": 0.0,
  "lattice_angstrom": [[4.511, 0.000, 0.000], [0.000, 4.511, 0.000], [0.000, 0.000, 9.978]],
  "species": ["Y", "Y", "Y", "Y", "Sc", "Sc", "Te", "Te"],
  "frac_coords": [[0.000, 0.500, 0.250], [0.000, 0.500, 0.750], [0.500, 0.000, 0.250], [0.500, 0.000, 0.750], [0.000, 0.000, 0.000], [0.500, 0.500, 0.500], [0.000, 0.000, 0.500], [0.500, 0.500, 0.000]]
}

---

# 3
{
  "formula": "YScTe2",
  "functional": "PBEsol",
  "state": "relaxed",
  "final_energy_ev_per_atom": -6.356,
  "de_polymorph_ev_per_atom": 0.023,
  "volume_a3_per_cell": 105.9,
  "dos_ef_per_ev_atom": 0.65,
  "magmom_total_mub_per_fu": 0.0,
  "lattice_angstrom": [[4.212, 0.000, 0.000], [0.000, 4.212, 0.000], [0.000, 0.000, 5.967]],
  "species": ["Y", "Sc", "Te", "Te"],
  "frac_coords": [[0.000, 0.000, 0.000], [0.500, 0.500, 0.500], [0.000, 0.000, 0.500], [0.500, 0.500, 0.000]]
}

---

# 4
{
  "formula": "YScTe2",
  "functional": "PBEsol",
  "state": "relaxed",
  "final_energy_ev_per_atom": -6.373,
  "de_polymorph_ev_per_atom": 0.007,
  "volume_a3_per_cell": 210.0,
  "dos_ef_per_ev_atom": 0.88,
  "magmom_total_mub_per_fu": 0.9,
  "lattice_angstrom": [[3.885, 0.000, 0.000], [0.000, 3.956, 0.000], [0.000, 0.000, 13.662]],
  "species": ["Y", "Y", "Sc", "Sc", "Te", "Te", "Te", "Te"],
  "frac_coords": [[0.000, 0.000, 0.000], [0.500, 0.500, 0.500], [0.000, 0.500, 0.746], [0.500, 0.000, 0.246], [0.000, 0.000, 0.405], [0.000, 0.500, 0.168], [0.500, 0.000, 0.668], [0.500, 0.500, 0.905]]
}

---

# 5
{
  "formula": "Y2ScTe",
  "functional": "PBEsol",
  "state": "relaxed",
  "final_energy_ev_per_atom": -6.418,
  "volume_a3_per_cell": 204.3,
  "dos_ef_per_ev_atom": 1.39,
  "magmom_total_mub_per_fu": 0.0,
  "lattice_angstrom": [[4.461, 0.000, 0.000], [0.000, 4.461, 0.000], [0.000, 0.000, 10.266]],
  "species": ["Y", "Y", "Y", "Y", "Sc", "Sc", "Te", "Te"],
  "frac_coords": [[0.000, 0.000, 0.000], [0.000, 0.500, 0.250], [0.500, 0.000, 0.750], [0.500, 0.500, 0.500], [0.000, 0.000, 0.500], [0.500, 0.500, 0.000], [0.000, 0.500, 0.750], [0.500, 0.000, 0.250]]
}

---

# 6
{
  "formula": "Y2ScTe",
  "functional": "PBEsol",
  "state": "relaxed",
  "final_energy_ev_per_atom": -6.561,
  "volume_a3_per_cell": 104.4,
  "dos_ef_per_ev_atom": 0.93,
  "magmom_total_mub_per_fu": 0.0,
  "lattice_angstrom": [[3.889, 0.000, 0.000], [0.000, 3.889, 0.000], [0.000, 0.000, 6.906]],
  "species": ["Y", "Y", "Sc", "Te"],
  "frac_coords": [[0.000, 0.000, 0.243], [0.000, 0.000, 0.757], [0.500, 0.500, 0.500], [0.500, 0.500, 0.000]]
}

---

# 7
{
  "formula": "ScZn2Te",
  "functional": "PBEsol",
  "state": "relaxed",
  "final_energy_ev_per_atom": -3.710,
  "volume_a3_per_cell": 78.2,
  "dos_ef_per_ev_atom": 0.52,
  "magmom_total_mub_per_fu": 0.0,
  "lattice_angstrom": [[3.652, 0.000, 0.000], [0.000, 3.652, 0.000], [0.000, 0.000, 5.861]],
  "species": ["Sc", "Zn", "Zn", "Te"],
  "frac_coords": [[0.000, 0.000, 0.000], [0.000, 0.000, 0.530], [0.500, 0.500, 0.710], [0.500, 0.500, 0.219]]
}

---

# 8
{
  "formula": "ScZnTe3",
  "functional": "PBEsol",
  "state": "relaxed",
  "final_energy_ev_per_atom": -3.650,
  "volume_a3_per_cell": 139.4,
  "dos_ef_per_ev_atom": 0.75,
  "magmom_total_mub_per_fu": 0.0,
  "lattice_angstrom": [[5.185, 0.000, 0.000], [0.000, 5.185, 0.000], [0.000, 0.000, 5.185]],
  "species": ["Sc", "Zn", "Te", "Te", "Te"],
  "frac_coords": [[0.000, 0.000, 0.000], [0.500, 0.500, 0.500], [0.000, 0.500, 0.500], [0.500, 0.000, 0.500], [0.500, 0.500, 0.000]]
}

---

# 9
{
  "formula": "ScZn2Te",
  "functional": "PBEsol",
  "state": "relaxed",
  "final_energy_ev_per_atom": -3.467,
  "volume_a3_per_cell": 320.6,
  "dos_ef_per_ev_atom": 0.61,
  "magmom_total_mub_per_fu": 0.0,
  "lattice_angstrom": [[6.844, 0.000, 0.000], [0.000, 6.844, 0.000], [0.000, 0.000, 6.844]],
  "species": ["Sc", "Sc", "Sc", "Sc", "Zn", "Zn", "Zn", "Zn", "Zn", "Zn", "Zn", "Zn", "Te", "Te", "Te", "Te"],
  "frac_coords": [[0.000, 0.000, 0.000], [0.000, 0.500, 0.500], [0.500, 0.000, 0.500], [0.500, 0.500, 0.000], [0.000, 0.000, 0.500], [0.000, 0.500, 0.000], [0.250, 0.250, 0.750], [0.250, 0.750, 0.250], [0.500, 0.000, 0.000], [0.500, 0.500, 0.500], [0.750, 0.250, 0.250], [0.750, 0.750, 0.750], [0.250, 0.250, 0.250], [0.250, 0.750, 0.750], [0.750, 0.250, 0.750], [0.750, 0.750, 0.250]]
}

---

# 10
{
  "formula": "ScZn2Te",
  "functional": "PBEsol",
  "state": "relaxed",
  "final_energy_ev_per_atom": -3.767,
  "volume_a3_per_cell": 80.7,
  "dos_ef_per_ev_atom": 0.33,
  "magmom_total_mub_per_fu": 0.0,
  "lattice_angstrom": [[3.803, 0.000, 0.000], [0.000, 3.803, 0.000], [-0.007, 0.000, 5.579]],
  "species": ["Sc", "Zn", "Zn", "Te"],
  "frac_coords": [[0.000, 0.000, 0.000], [0.001, 0.500, 0.377], [0.501, 0.000, 0.377], [0.500, 0.500, 0.797]]
}

---

# 11
{
  "formula": "ZrSc3Te",
  "functional": "PBEsol",
  "state": "relaxed",
  "final_energy_ev_per_atom": -5.949,
  "volume_a3_per_cell": 133.0,
  "dos_ef_per_ev_atom": 1.00,
  "magmom_total_mub_per_fu": 0.0,
  "lattice_angstrom": [[5.105, 0.000, 0.000], [0.000, 5.105, 0.000], [0.000, 0.000, 5.105]],
  "species": ["Zr", "Sc", "Sc", "Sc", "Te"],
  "frac_coords": [[0.000, 0.000, 0.000], [0.000, 0.000, 0.500], [0.000, 0.500, 0.000], [0.500, 0.000, 0.000], [0.500, 0.500, 0.500]]
}

---

# 12
{
  "formula": "ScTiZn2",
  "functional": "PBEsol",
  "state": "relaxed",
  "final_energy_ev_per_atom": -4.768,
  "formation_enthalpy_0k_mev_per_atom": -244.9,
  "volume_a3_per_cell": 262.0,
  "dos_ef_per_ev_atom": 1.03,
  "magmom_total_mub_per_fu": 0.7,
  "lattice_angstrom": [[6.399, 0.000, 0.000], [0.000, 6.399, 0.000], [0.000, 0.000, 6.399]],
  "species": ["Sc", "Sc", "Sc", "Sc", "Ti", "Ti", "Ti", "Ti", "Zn", "Zn", "Zn", "Zn", "Zn", "Zn", "Zn", "Zn"],
  "frac_coords": [[0.000, 0.000, 0.000], [0.000, 0.500, 0.500], [0.500, 0.000, 0.500], [0.500, 0.500, 0.000], [0.000, 0.000, 0.500], [0.000, 0.500, 0.000], [0.500, 0.000, 0.000], [0.500, 0.500, 0.500], [0.250, 0.250, 0.250], [0.250, 0.250, 0.750], [0.250, 0.750, 0.250], [0.250, 0.750, 0.750], [0.750, 0.250, 0.250], [0.750, 0.250, 0.750], [0.750, 0.750, 0.250], [0.750, 0.750, 0.750]]
}